[1]
## TaCdP2 (PBEsol)

Data for a relaxed structure of TaCdP2.

a b c (Å): 7.331 7.331 7.331
angles (deg): 26.96 26.96 26.96
Positions (direct):
1 Ta 0.000 0.000 0.000
2 Cd 0.500 0.500 0.500
3 P 0.259 0.259 0.259
4 P 0.741 0.741 0.741

Results
Mass density = 8.3 g/cm3
Space-group type = R-3m (166)
ΔE_f = -245.1 meV per atom
DOS at the Fermi energy = 0.516 states/eV/atom

---

[2]
## LaSbOs (PBEsol)

Data for a relaxed structure of LaSbOs.

a b c (Å): 4.706 4.706 4.706
angles (deg): 60.00 60.00 60.00
Positions (direct):
1 La 0.000 0.000 0.000
2 Sb 0.500 0.500 0.500
3 Os 0.250 0.250 0.250

Results
Mass density = 10.2 g/cm3
Energy relative to the elements, uncorrected = -0.137 eV per atom
Space-group type = F-43m (216)
DOS at the Fermi energy = 1.330 states/eV/atom

---

[3]
## NaInP2Ir (PBEsol)

Data for a relaxed structure of NaInP2Ir.

a b c (Å): 4.826 4.826 4.802
angles (deg): 90.00 90.00 90.00
Positions (direct):
1 Na 0.000 0.000 0.000
2 In 0.000 0.000 0.500
3 P 0.000 0.500 0.500
4 P 0.500 0.000 0.500
5 Ir 0.500 0.500 0.000

Results
Mass density = 5.8 g/cm3
Space-group type = P4/mmm (123)
ΔE_f = 1659.4 meV per atom
DOS at the Fermi energy = 0.928 states/eV/atom

---

[4]
## LaSnB3 (PBEsol)

Data for a relaxed structure of LaSnB3.

a b c (Å): 4.433 4.433 4.433
angles (deg): 90.00 90.00 90.00
Positions (direct):
1 La 0.000 0.000 0.000
2 Sn 0.500 0.500 0.500
3 B 0.000 0.500 0.500
4 B 0.500 0.000 0.500
5 B 0.500 0.500 0.000

Results
Mass density = 5.5 g/cm3
Space-group type = Pm-3m (221)
ΔE_f = 1236.6 meV per atom
DOS at the Fermi energy = 0.473 states/eV/atom

---

[5]
## RbLiBeIr2 (PBEsol)

Data for a relaxed structure of RbLiBeIr2.

a b c (Å): 4.331 4.331 4.518
angles (deg): 90.00 90.00 90.00
Positions (direct):
1 Rb 0.000 0.000 0.000
2 Li 0.000 0.000 0.500
3 Be 0.500 0.500 0.000
4 Ir 0.000 0.500 0.500
5 Ir 0.500 0.000 0.500

Results
Mass density = 9.5 g/cm3
Space-group type = P4/mmm (123)
ΔE_f = 1562.0 meV per atom
DOS at the Fermi energy = 1.043 states/eV/atom

---

[6]
## AlCoO3 (PBEsol)

Data for a relaxed structure of AlCoO3.

a b c (Å): 5.096 5.096 5.096
angles (deg): 56.02 56.02 56.02
Positions (direct):
1 Al 0.146 0.146 0.146
2 Al 0.854 0.854 0.854
3 Co 0.344 0.344 0.344
4 Co 0.656 0.656 0.656
5 O 0.055 0.749 0.447
6 O 0.251 0.553 0.945
7 O 0.447 0.055 0.749
8 O 0.553 0.945 0.251
9 O 0.749 0.447 0.055
10 O 0.945 0.251 0.553

Results
Mass density = 5.2 g/cm3
Energy relative to the elements, uncorrected = -1.996 eV per atom
Space-group type = R-3 (148)

---

- What is the formula in the first record?
  TaCdP2

---

- mass density of number 5 (RbLiBeIr2)?
  9.5 g/cm3

---

Please write out number 4 again, unchanged.
## LaSnB3 (PBEsol)

Data for a relaxed structure of LaSnB3.

a b c (Å): 4.433 4.433 4.433
angles (deg): 90.00 90.00 90.00
Positions (direct):
1 La 0.000 0.000 0.000
2 Sn 0.500 0.500 0.500
3 B 0.000 0.500 0.500
4 B 0.500 0.000 0.500
5 B 0.500 0.500 0.000

Results
Mass density = 5.5 g/cm3
Space-group type = Pm-3m (221)
ΔE_f = 1236.6 meV per atom
DOS at the Fermi energy = 0.473 states/eV/atom